a) Below is a geometry-optimized CeEuSn2 structure, with properties calculated at the PBE level.

POSCAR file:
```
CeEuSn2
1.0
0.0000 3.8918 3.8918
3.8918 0.0000 3.8918
3.8918 3.8918 0.0000
Ce Eu Sn
1 1 2
Cartesian
0.0000 0.0000 0.0000 Ce
3.8918 3.8918 3.8918 Eu
1.9459 1.9459 1.9459 Sn
5.8376 5.8376 5.8376 Sn
```

b) Below is a geometry-optimized CeEuSn2 structure, with properties calculated at the PBE level.

POSCAR file:
```
CeEuSn2
1.0
5.0440 0.0000 0.0000
0.0000 5.0440 0.0000
0.0000 0.0000 4.5118
Ce Eu Sn
1 1 2
Cartesian
0.0000 0.0000 0.0000 Ce
2.5220 2.5220 0.0000 Eu
0.0000 2.5220 2.2559 Sn
2.5220 0.0000 2.2559 Sn
```

From most stable to least stable, the computed energies give b), a).

a) Below is a geometry-optimized SrCeEu2 structure, with properties calculated at the PBE level.

POSCAR file:
```
SrCeEu2
1.0
3.8086 0.0000 0.0000
0.0000 3.8086 0.0000
0.0000 0.0000 11.3448
Sr Ce Eu
1 1 2
Cartesian
0.0000 0.0000 0.0000 Sr
0.0000 0.0000 5.6724 Ce
1.9043 1.9043 3.1161 Eu
1.9043 1.9043 8.2287 Eu
```

b) Below is a geometry-optimized SrCeEu2 structure, with properties calculated at the PBE level.

POSCAR file:
```
SrCeEu2
1.0
1.8701 1.0797 13.6653
-1.8701 1.0797 13.6653
0.0000 -2.1594 13.6653
Sr Ce Eu
1 1 2
Cartesian
0.0000 0.0000 0.0000 Sr
0.0000 0.0000 20.4980 Ce
0.0000 0.0000 17.0982 Eu
0.0000 0.0000 23.8978 Eu
```

From most stable to least stable, the computed energies give a), b).

a) Below is a geometry-optimized Ce2EuTc structure, with properties calculated at the PBE level.

POSCAR file:
```
Ce2EuTc
1.0
3.4541 0.0000 0.0000
0.0000 3.4541 0.0000
0.0000 0.0000 9.3341
Ce Eu Tc
2 1 1
Cartesian
0.0000 0.0000 1.6970 Ce
0.0000 0.0000 7.6371 Ce
1.7270 1.7270 4.6670 Eu
1.7270 1.7270 0.0000 Tc
```

b) Below is a geometry-optimized Ce2EuTc structure, with properties calculated at the PBE level.

POSCAR file:
```
Ce2EuTc
1.0
1.9845 1.1458 9.1639
-1.9845 1.1458 9.1639
0.0000 -2.2915 9.1639
Ce Eu Tc
2 1 1
Cartesian
0.0000 0.0000 6.0852 Ce
0.0000 0.0000 21.4066 Ce
0.0000 0.0000 0.0000 Eu
0.0000 0.0000 13.7459 Tc
```

From most stable to least stable, the computed energies give a), b).

a) Below is a geometry-optimized Ce2EuTh structure, with properties calculated at the PBE level.

POSCAR file:
```
Ce2EuTh
1.0
4.9599 0.0000 0.0000
0.0000 4.9599 0.0000
0.0000 0.0000 4.9972
Ce Eu Th
2 1 1
Cartesian
0.0000 2.4800 0.0000 Ce
2.4800 0.0000 0.0000 Ce
0.0000 0.0000 2.4986 Eu
2.4800 2.4800 2.4986 Th
```

b) Below is a geometry-optimized Ce2EuTh structure, with properties calculated at the PBE level.

POSCAR file:
```
Ce2EuTh
1.0
0.0000 4.0215 4.0215
4.0215 0.0000 4.0215
4.0215 4.0215 0.0000
Ce Eu Th
2 1 1
Cartesian
2.0108 2.0108 2.0108 Ce
6.0323 6.0323 6.0323 Ce
0.0000 0.0000 0.0000 Eu
4.0215 4.0215 4.0215 Th
```

From most stable to least stable, the computed energies give a), b).

a) Below is a geometry-optimized CeEu2Tl structure, with properties calculated at the PBE level.

POSCAR file:
```
CeEu2Tl
1.0
5.0025 0.0000 0.0000
0.0000 5.0025 0.0000
0.0000 0.0000 5.1061
Ce Eu Tl
1 2 1
Cartesian
0.0000 0.0000 0.0000 Ce
0.0000 2.5012 2.5531 Eu
2.5012 0.0000 2.5531 Eu
2.5012 2.5012 0.0000 Tl
```

b) Below is a geometry-optimized CeEu2Tl structure, with properties calculated at the PBE level.

POSCAR file:
```
CeEu2Tl
1.0
0.0000 3.9771 3.9771
3.9771 0.0000 3.9771
3.9771 3.9771 0.0000
Ce Eu Tl
1 2 1
Cartesian
0.0000 0.0000 0.0000 Ce
1.9886 1.9886 1.9886 Eu
5.9657 5.9657 5.9657 Eu
3.9771 3.9771 3.9771 Tl
```

From most stable to least stable, the computed energies give a), b).

a) Below is a geometry-optimized Ce2EuTm structure, with properties calculated at the PBE level.

POSCAR file:
```
Ce2EuTm
1.0
4.0962 0.0000 0.0000
0.0000 4.0962 0.0000
0.0000 0.0000 7.8845
Ce Eu Tm
2 1 1
Cartesian
0.0000 0.0000 1.7774 Ce
0.0000 0.0000 6.1070 Ce
2.0481 2.0481 3.9422 Eu
2.0481 2.0481 0.0000 Tm
```

b) Below is a geometry-optimized Ce2EuTm structure, with properties calculated at the PBE level.

POSCAR file:
```
Ce2EuTm
1.0
5.8603 0.0000 0.0000
0.0000 5.8603 0.0000
0.0000 0.0000 3.7688
Ce Eu Tm
2 1 1
Cartesian
0.0000 2.9302 0.0000 Ce
2.9302 0.0000 0.0000 Ce
0.0000 0.0000 1.8844 Eu
2.9302 2.9302 1.8844 Tm
```

From most stable to least stable, the computed energies give a), b).

a) Below is a geometry-optimized CeF4 structure, with properties calculated at the PBE level.

POSCAR file:
```
CeF4
1.0
6.3994 -5.3814 0.0000
6.3994 5.3814 0.0000
-4.9233 0.0000 6.7815
Ce F
6 24
Cartesian
2.7069 3.1020 5.0862 Ce
2.9526 0.7769 1.1594 Ce
0.4910 -0.7769 4.5502 Ce
7.3845 0.7769 2.2314 Ce
4.9228 -0.7769 5.6221 Ce
5.1685 -3.1020 1.6954 Ce
3.1997 2.6907 0.0000 F
0.6459 3.7562 5.7667 F
-0.7007 0.6019 3.0934 F
-3.1624 -0.6019 6.4842 F
2.9103 2.1972 2.8869 F
-0.7081 0.3143 6.0719 F
1.3575 1.3154 4.8604 F
4.7679 3.7562 4.4056 F
1.7536 -0.3143 2.6812 F
5.1685 1.1012 1.6954 F
7.4268 2.1972 0.5039 F
4.0563 1.3154 5.3119 F
0.7380 -2.6907 3.3908 F
3.8191 -1.3154 1.4696 F
0.4486 -2.1972 6.2777 F
2.7069 -1.1012 5.0862 F
6.1219 0.3143 4.1004 F
3.1076 -3.7562 2.3760 F
6.5179 -1.3154 1.9212 F
8.5835 -0.3143 0.7096 F
4.9652 -2.1972 3.8946 F
11.0378 0.6019 0.2974 F
8.5762 -0.6019 3.6882 F
7.2295 -3.7562 1.0148 F
```

b) Below is a geometry-optimized CeF4 structure, with properties calculated at the PBE level.

POSCAR file:
```
CeF4
1.0
3.0455 -5.1971 0.0000
3.0455 5.1971 0.0000
-2.9045 0.0000 4.8120
Ce F
2 8
Cartesian
0.8671 3.8959 3.6090 Ce
2.3193 -3.8959 1.2030 Ce
0.9439 2.7746 1.5719 F
1.1857 0.2928 0.2838 F
-0.2666 -0.2928 2.6898 F
3.6948 2.7746 0.8341 F
-0.5084 -2.7746 3.9779 F
3.4530 0.2928 2.1222 F
2.0008 -0.2928 4.5282 F
2.2426 -2.7746 3.2401 F
```

From most stable to least stable, the computed energies give a), b).

a) Below is a geometry-optimized Ce2GaF structure, with properties calculated at the PBE level.

POSCAR file:
```
Ce2GaF
1.0
3.2066 0.0000 0.0000
0.0000 3.2066 0.0000
0.0000 0.0000 7.8350
Ce Ga F
2 1 1
Cartesian
0.0000 0.0000 1.8312 Ce
0.0000 0.0000 6.0038 Ce
1.6033 1.6033 3.9175 Ga
1.6033 1.6033 0.0000 F
```

b) Below is a geometry-optimized Ce2GaF structure, with properties calculated at the PBE level.

POSCAR file:
```
Ce2GaF
1.0
1.9278 1.1130 6.8909
-1.9278 1.1130 6.8909
0.0000 -2.2260 6.8909
Ce Ga F
2 1 1
Cartesian
0.0000 0.0000 4.8436 Ce
0.0000 0.0000 15.8292 Ce
0.0000 0.0000 0.0000 Ga
0.0000 0.0000 10.3364 F
```

From most stable to least stable, the computed energies give b), a).

a) Below is a geometry-optimized CeGe2F8 structure, with properties calculated at the PBE level.

POSCAR file:
```
CeGe2F8
1.0
5.0346 -2.6683 0.0000
5.0346 2.6683 0.0000
-0.3031 0.0000 6.7424
Ce Ge F
1 2 8
Cartesian
0.0000 0.0000 0.0000 Ce
2.7211 0.0000 2.2353 Ge
7.0450 0.0000 4.5070 Ge
3.1446 1.4472 5.5287 F
0.7162 0.0000 4.9156 F
6.6214 1.4472 1.2137 F
4.0921 0.0000 1.0044 F
5.6739 0.0000 5.7380 F
3.1446 -1.4472 5.5287 F
9.0498 0.0000 1.8267 F
6.6214 -1.4472 1.2137 F
```

b) Below is a geometry-optimized CeGe2F8 structure, with properties calculated at the PBE level.

POSCAR file:
```
CeGe2F8
1.0
7.1681 -3.0364 0.0000
7.1681 3.0364 0.0000
-0.8578 0.0000 4.8204
Ce Ge F
1 2 8
Cartesian
0.0000 0.0000 0.0000 Ce
3.6616 0.0000 3.6770 Ge
9.8168 0.0000 1.1434 Ge
0.6268 0.0000 3.3720 F
5.1104 1.3647 3.8774 F
3.8188 0.0000 1.8608 F
8.3680 1.3647 0.9430 F
5.1104 -1.3647 3.8774 F
9.6596 0.0000 2.9596 F
8.3680 -1.3647 0.9430 F
12.8516 0.0000 1.4484 F
```

From most stable to least stable, the computed energies give b), a).

a) Below is a geometry-optimized CeI3F structure, with properties calculated at the PBE level.

POSCAR file:
```
CeI3F
1.0
5.6604 -4.8662 0.0000
5.6604 4.8662 0.0000
-5.2739 0.0000 6.4793
Ce I F
2 6 2
Cartesian
-0.7914 0.0000 2.5571 Ce
6.8382 0.0000 3.9222 Ce
1.6752 0.0000 0.6728 I
1.2565 1.8211 4.5540 I
4.7903 1.8211 1.9253 I
1.2565 -1.8211 4.5540 I
4.7903 -1.8211 1.9253 I
4.3717 0.0000 5.8066 I
-2.1012 0.0000 4.3516 F
8.1480 0.0000 2.1277 F
```

b) Below is a geometry-optimized CeI3F structure, with properties calculated at the PBE level.

POSCAR file:
```
CeI3F
1.0
13.9411 0.0000 0.0000
0.0000 13.9411 0.0000
0.0000 0.0000 4.5378
Ce I F
4 12 4
Cartesian
1.6623 1.6623 0.0000 Ce
5.3083 8.6328 2.2689 Ce
8.6328 5.3083 2.2689 Ce
12.2788 12.2788 0.0000 Ce
1.4303 4.5732 0.0000 I
1.4762 12.4649 0.0000 I
2.3974 8.4009 2.2689 I
4.5732 1.4303 0.0000 I
5.4944 5.4944 2.2689 I
5.5402 11.5437 2.2689 I
8.4009 2.3974 2.2689 I
8.4467 8.4467 2.2689 I
9.3679 12.5108 0.0000 I
11.5437 5.5402 2.2689 I
12.4649 1.4762 0.0000 I
12.5108 9.3679 0.0000 I
1.5555 1.5555 2.2689 F
5.4151 8.5260 0.0000 F
8.5260 5.4151 0.0000 F
12.3856 12.3856 2.2689 F
```

From most stable to least stable, the computed energies give b), a).

a) Below is a geometry-optimized CeInF structure, with properties calculated at the PBE level.

POSCAR file:
```
CeInF
1.0
-1.6953 1.6953 6.1502
1.6953 -1.6953 6.1502
1.6953 1.6953 -6.1502
Ce In F
1 1 1
Cartesian
0.0000 0.0000 0.0000 Ce
0.0000 0.0000 3.5006 In
0.0000 0.0000 6.7890 F
```

b) Below is a geometry-optimized CeInF structure, with properties calculated at the PBE level.

POSCAR file:
```
CeInF
1.0
2.2467 1.2971 8.1411
-2.2467 1.2971 8.1411
0.0000 -2.5943 8.1411
Ce In F
2 2 2
Cartesian
0.0000 0.0000 2.3938 Ce
0.0000 0.0000 22.0294 Ce
0.0000 0.0000 8.6526 In
0.0000 0.0000 15.7706 In
0.0000 0.0000 4.7608 F
0.0000 0.0000 19.6623 F
```

From most stable to least stable, the computed energies give b), a).

a) Below is a geometry-optimized Ce2InF structure, with properties calculated at the PBE level.

POSCAR file:
```
Ce2InF
1.0
1.8894 1.0909 7.7655
-1.8894 1.0909 7.7655
0.0000 -2.1817 7.7655
Ce In F
2 1 1
Cartesian
0.0000 0.0000 5.2829 Ce
0.0000 0.0000 18.0136 Ce
0.0000 0.0000 0.0000 In
0.0000 0.0000 11.6483 F
```

b) Below is a geometry-optimized Ce2InF structure, with properties calculated at the PBE level.

POSCAR file:
```
Ce2InF
1.0
3.1843 0.0000 0.0000
0.0000 3.1843 0.0000
0.0000 0.0000 8.6012
Ce In F
2 1 1
Cartesian
0.0000 0.0000 1.8459 Ce
0.0000 0.0000 6.7554 Ce
1.5921 1.5921 4.3006 In
1.5921 1.5921 0.0000 F
```

From most stable to least stable, the computed energies give a), b).